Sc2NiPt2 | PBE | relaxed

Structure (POSCAR):
```
Sc2NiPt2
1.0
7.040 0.000 0.000
0.000 7.040 0.000
0.000 0.000 3.595
Sc Ni Pt
4 2 4
direct
0.168 0.332 0.000
0.332 0.832 0.000
0.668 0.168 0.000
0.832 0.668 0.000
0.000 0.000 0.500
0.500 0.500 0.500
0.139 0.639 0.500
0.361 0.139 0.500
0.639 0.861 0.500
0.861 0.361 0.500
```

Results
As for the mass density: 10.0 g/cm3. The formation energy comes out at -0.841 eV per atom.

Sc2Ni2Pt | PBE | relaxed

Structure (POSCAR):
```
Sc2Ni2Pt
1.0
-2.405 2.405 3.670
2.405 -2.405 3.670
2.405 2.405 -3.670
Sc Ni Pt
2 2 1
direct
0.250 0.750 0.500
0.750 0.250 0.500
0.150 0.150 0.000
0.850 0.850 0.000
0.500 0.500 0.000
```

Results
As for the excess energy over the best structure of this formula in the dataset: 250 meV per atom. As for the mass density: 7.9 g/cm3. The formation energy comes out at -0.467 eV per atom.

Sc4NiPt3 | PBE | relaxed

Structure (POSCAR):
```
Sc4NiPt3
1.0
3.228 0.000 0.000
0.000 4.671 0.000
0.000 0.000 9.321
Sc Ni Pt
4 1 3
direct
0.000 0.000 0.000
0.000 0.000 0.500
0.000 0.500 0.243
0.000 0.500 0.757
0.500 0.500 0.000
0.500 0.000 0.248
0.500 0.000 0.752
0.500 0.500 0.500
```

Results
As for the mass density: 9.7 g/cm3. The formation energy comes out at -1.063 eV per atom.